1.
Below is KBa2LaPd after structural relaxation, with properties calculated at the PBE level.

Cell: 6.6027 6.6027 5.6936 Å, 90.00 90.00 90.00°
With the nearest neighbours (Å) after each atom.
Element x y z (fractional)
K  0.0000  0.0000  0.0000  8 Ba 4.36, 4 La 4.67
Ba  0.0000  0.5000  0.5000  2 Pd 3.30
Ba  0.5000  0.0000  0.5000  2 Pd 3.30
La  0.5000  0.5000  0.0000  2 Pd 2.85
Pd  0.5000  0.5000  0.5000  2 La 2.85

Properties
formation energy: -0.1435 eV/atom
space group: P4/mmm

---

2.
Below is KBaLa2Pt after structural relaxation, with properties calculated at the PBE level.

Cell: 5.7873 5.7873 6.6478 Å, 90.00 90.00 90.00°
With the nearest neighbours (Å) after each atom.
Element x y z (fractional)
K  0.0000  0.0000  0.0000  4 Ba 4.09, 8 La 4.41
Ba  0.5000  0.5000  0.0000  2 Pt 3.32
La  0.0000  0.5000  0.5000  2 Pt 2.89
La  0.5000  0.0000  0.5000  2 Pt 2.89
Pt  0.5000  0.5000  0.5000  4 La 2.89

Properties
formation energy: -0.2874 eV/atom
space group: P4/mmm

---

3.
Below is KBa2LaRh after structural relaxation, with properties calculated at the PBE level.

Cell: 6.5325 6.5325 5.4647 Å, 90.00 90.00 90.00°
With the nearest neighbours (Å) after each atom.
Element x y z (fractional)
K  0.0000  0.0000  0.0000  8 Ba 4.26, 4 La 4.62
Ba  0.0000  0.5000  0.5000  2 Rh 3.27
Ba  0.5000  0.0000  0.5000  2 Rh 3.27
La  0.5000  0.5000  0.0000  2 Rh 2.73
Rh  0.5000  0.5000  0.5000  2 La 2.73

Properties
formation energy: -0.1319 eV/atom
space group: P4/mmm

---

4.
Below is KBa2LaS4 after structural relaxation, with properties calculated at the PBE level.

Cell: 7.6232 4.4490 7.7136 Å, 90.00 108.72 90.00°
With the nearest neighbours (Å) after each atom.
Element x y z (fractional)
K  0.0000  0.0000  0.0000  6 S 3.13-3.20
Ba  0.5000  0.0000  0.5000  6 S 3.11-3.12
Ba  0.5000  0.5000  0.0000  6 S 3.29-3.32
La  0.0000  0.5000  0.5000  6 S 2.91-3.02
S  0.2299  0.0000  0.7288  2 La 3.02, 3 Ba 3.11-3.29, 1 K 3.13
S  0.2393  0.5000  0.2722  1 La 2.91, 2 Ba 3.12, 2 K 3.20
S  0.7607  0.5000  0.7278  1 La 2.91, 2 Ba 3.12, 2 K 3.20
S  0.7701  0.0000  0.2712  2 La 3.02, 3 Ba 3.11-3.29, 1 K 3.13

Properties
space group: P2/m
formation energy without anion corrections: -1.933 eV/atom

---

5.
Below is KBaLa2Se4 after structural relaxation, with properties calculated at the PBE level.

Cell: 7.6795 4.4389 7.9749 Å, 90.00 108.69 90.00°
With the nearest neighbours (Å) after each atom.
Element x y z (fractional)
K  0.0000  0.0000  0.0000  6 Se 3.30-3.33
Ba  0.5000  0.5000  0.0000  6 Se 3.30-3.31
La  0.0000  0.5000  0.5000  6 Se 3.06-3.07
La  0.5000  0.0000  0.5000  6 Se 3.05-3.07
Se  0.2417  0.0000  0.7245  3 La 3.07, 1 K 3.30, 2 Ba 3.30
Se  0.2614  0.5000  0.2804  3 La 3.05-3.06, 1 Ba 3.31, 2 K 3.33
Se  0.7386  0.5000  0.7196  3 La 3.05-3.06, 1 Ba 3.31, 2 K 3.33
Se  0.7583  0.0000  0.2755  3 La 3.07, 1 K 3.30, 2 Ba 3.30

Properties
space group: P2/m
formation energy without anion corrections: -1.905 eV/atom

---

6.
Below is KBaLa2Te4 after structural relaxation, with properties calculated at the PBE level.

Cell: 8.1459 4.7067 8.4951 Å, 90.00 108.60 90.00°
With the nearest neighbours (Å) after each atom.
Element x y z (fractional)
K  0.0000  0.0000  0.0000  6 Te 3.49-3.51
Ba  0.5000  0.5000  0.0000  6 Te 3.50-3.51
La  0.0000  0.5000  0.5000  6 Te 3.26-3.27
La  0.5000  0.0000  0.5000  6 Te 3.26-3.28
Te  0.2421  0.0000  0.7272  3 La 3.27-3.28, 1 K 3.49, 2 Ba 3.50
Te  0.2594  0.5000  0.2764  3 La 3.26, 1 Ba 3.51, 2 K 3.51
Te  0.7406  0.5000  0.7236  3 La 3.26, 1 Ba 3.51, 2 K 3.51
Te  0.7579  0.0000  0.2728  3 La 3.27-3.28, 1 K 3.49, 2 Ba 3.50

Properties
space group: P2/m
formation energy without anion corrections: -1.578 eV/atom

---

7.
Below is K2BaLi2 after structural relaxation, with properties calculated at the PBE level.

Cell: 10.7859 10.7859 4.1070 Å, 90.00 90.00 90.00°
With the nearest neighbours (Å) after each atom.
Element x y z (fractional)
K  0.1266  0.3734  0.0000  6 Li 3.62-3.91, 1 K 3.86
K  0.3734  0.8734  0.0000  6 Li 3.62-3.91, 1 K 3.86
K  0.6266  0.1266  0.0000  6 Li 3.62-3.91, 1 K 3.86
K  0.8734  0.6266  0.0000  6 Li 3.62-3.91, 1 K 3.86
Ba  0.0000  0.0000  0.0000  2 Ba 4.11, 4 K 4.25, 8 Li 4.47
Ba  0.5000  0.5000  0.0000  2 Ba 4.11, 4 K 4.25, 8 Li 4.47
Li  0.1778  0.6778  0.5000  6 K 3.62-3.91
Li  0.3222  0.1778  0.5000  6 K 3.62-3.91
Li  0.6778  0.8222  0.5000  6 K 3.62-3.91
Li  0.8222  0.3222  0.5000  6 K 3.62-3.91

Properties
E above lowest polymorph: 8 meV/atom
formation energy: 0.1793 eV/atom
space group: P4/mbm

---

8.
Below is KBa2Li after structural relaxation, with properties calculated at the PBE level.

Cell: 7.8918 7.8918 7.0129 Å, 116.27 116.27 35.16°
With the nearest neighbours (Å) after each atom.
Element x y z (fractional)
K  0.0000  0.0000  0.0000  4 Li 4.24, 8 Ba 4.41-4.59
Ba  0.2215  0.2215  0.7214  2 Li 3.79
Ba  0.7785  0.7785  0.2786  2 Li 3.79
Li  0.5000  0.5000  0.5000  4 Ba 3.79, 4 K 4.24

Properties
formation energy: 0.1370 eV/atom
space group: C2/m

---

9.
Below is K2BaLi after structural relaxation, with properties calculated at the PBE level.

Cell: 6.8332 6.8332 6.8332 Å, 60.00 60.00 60.00°
With the nearest neighbours (Å) after each atom.
Element x y z (fractional)
K  0.2500  0.2500  0.2500  4 Ba 4.18, 4 Li 4.18
K  0.7500  0.7500  0.7500  4 Li 4.18, 4 Ba 4.18
Ba  0.0000  0.0000  0.0000  8 K 4.18
Li  0.5000  0.5000  0.5000  8 K 4.18

Properties
E above lowest polymorph: 142 meV/atom
formation energy: 0.2234 eV/atom
space group: Fm-3m

---

10.
Below is KBa2Li after structural relaxation, with properties calculated at the PBE level.

Cell: 13.5760 13.5760 13.5760 Å, 18.76 18.76 18.76°
With the nearest neighbours (Å) after each atom.
Element x y z (fractional)
K  0.0000  0.0000  0.0000  6 K 4.43, 6 Ba 4.66
Ba  0.2358  0.2358  0.2358  3 Li 3.77
Ba  0.7642  0.7642  0.7642  3 Li 3.77
Li  0.5000  0.5000  0.5000  6 Ba 3.77

Properties
formation energy: 0.1392 eV/atom
space group: R-3m

---

11.
Below is KBa2Li2 after structural relaxation, with properties calculated at the PBE level.

Cell: 10.7851 10.7851 4.1672 Å, 90.00 90.00 90.00°
With the nearest neighbours (Å) after each atom.
Element x y z (fractional)
K  0.0000  0.0000  0.0000  2 K 4.17, 4 Ba 4.19, 8 Li 4.57
K  0.5000  0.5000  0.0000  2 K 4.17, 4 Ba 4.19, 8 Li 4.57
Ba  0.1356  0.3644  0.0000  6 Li 3.78-3.80, 3 Ba 4.14-4.17, 2 K 4.19
Ba  0.3644  0.8644  0.0000  6 Li 3.78-3.80, 3 Ba 4.14-4.17, 2 K 4.19
Ba  0.6356  0.1356  0.0000  6 Li 3.78-3.80, 3 Ba 4.14-4.17, 2 K 4.19
Ba  0.8644  0.6356  0.0000  6 Li 3.78-3.80, 3 Ba 4.14-4.17, 2 K 4.19
Li  0.1564  0.6564  0.5000  6 Ba 3.78-3.80, 2 Li 4.17
Li  0.3436  0.1564  0.5000  6 Ba 3.78-3.80, 2 Li 4.17
Li  0.6564  0.8436  0.5000  6 Ba 3.78-3.80, 2 Li 4.17
Li  0.8436  0.3436  0.5000  6 Ba 3.78-3.80, 2 Li 4.17

Properties
E above lowest polymorph: 63 meV/atom
formation energy: 0.1427 eV/atom
space group: P4/mbm

---

12.
Below is K2BaLi after structural relaxation, with properties calculated at the PBE level.

Cell: 5.2240 6.1365 7.0515 Å, 90.00 90.00 90.00°
With the nearest neighbours (Å) after each atom.
Element x y z (fractional)
K  0.0000  0.0000  0.0000  4 K 4.03, 4 Li 4.39
K  0.5000  0.5000  0.0000  4 K 4.03, 4 Ba 4.39
Ba  0.0000  0.5000  0.5000  4 Li 4.03, 4 K 4.39
Li  0.5000  0.0000  0.5000  4 Ba 4.03, 4 K 4.39

Properties
E above lowest polymorph: 77 meV/atom
formation energy: 0.1580 eV/atom
space group: Pmmm

---

no.,final energy (eV per cell)
1,-15.8
2,-20.4
3,-17.9
4,-41.8
5,-42.1
6,-38.1
7,-14.1
8,-6.3
9,-5.1
10,-6.3
11,-16.1
12,-5.4